No. 1
# HfTlAg

A geometry-optimized HfTlAg structure (PBE, the Alexandria database).

POSCAR file:
```
HfTlAg
1.0
-1.941 1.310 -4.402
-1.002 -4.487 1.930
-4.743 2.246 2.760
Tl Hf Ag
2 2 2
direct
0.333 0.667 0.250 Tl
0.667 0.333 0.750 Tl
0.333 0.667 0.750 Hf
0.667 0.333 0.250 Hf
0.000 0.000 0.000 Ag
0.000 0.000 0.500 Ag
```

Results
* uncorrected energy: -4.8359 eV/atom
* M_tot: 0.00 Bohr magnetons per cell
* calculated volume: 21.28 A^3/atom
* crystal system: hexagonal
* DOS at the Fermi energy: 1.5 states/eV/cell
* ρ: 12.77 Mg/m³


No. 2
# HfTlAg

A geometry-optimized HfTlAg structure (PBE, the Alexandria database).

POSCAR file:
```
HfTlAg
1.0
-1.077 -2.986 0.449
0.824 -0.749 -3.006
5.792 0.122 3.266
Tl Hf Ag
1 1 1
direct
0.669 0.669 0.338 Tl
0.992 0.992 0.984 Hf
0.339 0.339 0.677 Ag
```

Results
* uncorrected energy: -4.9199 eV/atom
* M_tot: 0.00 Bohr magnetons per cell
* calculated volume: 21.42 A^3/atom
* crystal system: tetragonal
* DOS at the Fermi energy: 2.3 states/eV/cell
* ρ: 12.68 Mg/m³


No. 3
# HfTlAg2

A geometry-optimized HfTlAg2 structure (PBE, the Alexandria database).

POSCAR file:
```
HfTlAg2
1.0
7.842 0.000 0.000
0.000 7.842 0.000
3.921 3.921 2.943
Tl Hf Ag
2 2 4
direct
0.000 0.000 0.000 Tl
0.750 0.250 0.500 Tl
0.500 0.500 0.000 Hf
0.250 0.750 0.500 Hf
0.618 0.125 0.250 Ag
0.132 0.625 0.250 Ag
0.375 0.382 0.750 Ag
0.875 0.868 0.750 Ag
```

Results
* uncorrected energy: -4.0927 eV/atom
* M_tot: 0.00 Bohr magnetons per cell
* calculated volume: 22.62 A^3/atom
* crystal system: tetragonal
* DOS at the Fermi energy: 8.5 states/eV/cell
* excess energy over the best structure of this formula in the dataset: 110 kJ/mol of formula units
* ρ: 10.99 Mg/m³


No. 4
# HfTlAg

A geometry-optimized HfTlAg structure (PBE, the Alexandria database).

POSCAR file:
```
HfTlAg
1.0
-1.054 2.654 -1.259
1.087 -1.660 -4.410
-4.371 -0.840 1.890
Tl Hf Ag
1 1 1
direct
0.166 0.000 0.000 Tl
0.667 0.333 0.667 Hf
0.167 0.667 0.333 Ag
```

Results
* uncorrected energy: -4.9102 eV/atom
* M_tot: 0.00 Bohr magnetons per cell
* calculated volume: 21.07 A^3/atom
* crystal system: hexagonal
* DOS at the Fermi energy: 2.1 states/eV/cell
* ρ: 12.89 Mg/m³


Copy entry 2 word for word.
# HfTlAg

A geometry-optimized HfTlAg structure (PBE, the Alexandria database).

POSCAR file:
```
HfTlAg
1.0
-1.077 -2.986 0.449
0.824 -0.749 -3.006
5.792 0.122 3.266
Tl Hf Ag
1 1 1
direct
0.669 0.669 0.338 Tl
0.992 0.992 0.984 Hf
0.339 0.339 0.677 Ag
```

Results
* uncorrected energy: -4.9199 eV/atom
* M_tot: 0.00 Bohr magnetons per cell
* calculated volume: 21.42 A^3/atom
* crystal system: tetragonal
* DOS at the Fermi energy: 2.3 states/eV/cell
* ρ: 12.68 Mg/m³


> The lowest ρ belongs to which entry?

HfTlAg2


> Among the records above, which one has the highest calculated volume?

HfTlAg2